DFT (PBE) results for an optimized crystal structure of Sr3LaTl.

Calculated values
DOS at the Fermi energy ... 10.133 states/eV per cell
E_form ... 0.194 eV per atom
Crystal system ... cubic
Volume ... 47.711 Å³/atom

a = 6.202 Å, b = 6.202 Å, c = 6.202 Å
α = 90.00°, β = 90.00°, γ = 90.00°
Fractional positions:
Sr  0.000  0.500  0.000
Sr  0.000  0.000  0.500
Sr  0.500  0.000  0.000
Tl  0.000  0.000  0.000
La  0.500  0.500  0.500